No. 1
First-principles (PBE-GGA) data for crystalline LaMo at its relaxed geometry, as listed in Alexandria via LeMat-Bulk.

```
LaMo
1.0
-3.1905 0.1307 1.7455
-1.7141 -0.9684 -3.0605
0.3545 -3.5054 0.9106
Mo La
1 1
direct
0.5000 0.5000 0.5000
0.0000 0.0000 0.0000
```

final energy = -7.109 eV per atom
V = 48 Å³/f.u.
formation energy from the elements = 0.770 eV/atom

No. 2
First-principles (PBE-GGA) data for crystalline Li4Zn3Pt at its relaxed geometry, as listed in Alexandria via LeMat-Bulk.

```
Li4Zn3Pt
1.0
-5.3481 -0.8262 -0.4099
0.8086 -6.9168 3.3914
-0.7327 2.3144 4.8950
Pt Zn Li
2 6 8
direct
0.5000 0.3142 0.4993
0.0000 0.8142 0.5007
0.2503 0.5650 0.2531
0.5000 0.3140 0.0001
0.0000 0.8140 0.9999
0.7503 0.0650 0.7469
0.7497 0.5650 0.2531
0.2497 0.0650 0.7469
0.7498 0.5639 0.7407
0.5000 0.8146 0.5004
0.2502 0.5639 0.7407
0.5000 0.8146 0.9991
0.2498 0.0639 0.2593
0.7502 0.0639 0.2593
0.0000 0.3146 0.0009
0.0000 0.3146 0.4996
```

final energy = -2.496 eV per atom
V = 115 Å³/f.u.
formation energy from the elements = -0.306 eV/atom

No. 3
First-principles (PBE-GGA) data for crystalline Th2SnBi at its relaxed geometry, as listed in Alexandria via LeMat-Bulk.

```
Th2SnBi
1.0
4.4567 0.0000 0.0000
2.2283 3.8596 0.0000
2.2283 1.2865 7.9684
Th Bi Sn
2 1 1
direct
0.0841 0.0841 0.7478
0.2488 0.2488 0.2537
0.6681 0.6681 0.9958
0.4991 0.4991 0.5028
```

final energy = -6.099 eV per atom
V = 137 Å³/f.u.
formation energy from the elements = -0.418 eV/atom

No. 4
First-principles (PBE-GGA) data for crystalline PBr2N at its relaxed geometry, as listed in Alexandria via LeMat-Bulk.

```
PBr2N
1.0
7.1278 0.0000 0.0000
0.0000 14.4174 0.0000
0.0000 0.0000 15.5281
Br N P
24 12 12
direct
0.9107 0.0683 0.1786
0.3313 0.7500 0.0950
0.8528 0.9268 0.4096
0.8528 0.5732 0.4096
0.3528 0.0732 0.0904
0.4107 0.5683 0.3214
0.0893 0.9317 0.8214
0.8783 0.7500 0.1713
0.5893 0.4317 0.6786
0.5893 0.0683 0.6786
0.3783 0.2500 0.3287
0.4107 0.9317 0.3214
0.1687 0.7500 0.5950
0.1217 0.2500 0.8287
0.8313 0.2500 0.4050
0.0893 0.5683 0.8214
0.3528 0.4268 0.0904
0.6472 0.9268 0.9096
0.1472 0.0732 0.5904
0.1472 0.4268 0.5904
0.6687 0.2500 0.9050
0.9107 0.4317 0.1786
0.6472 0.5732 0.9096
0.6217 0.7500 0.6713
0.1294 0.2500 0.1415
0.5002 0.1545 0.4997
0.5002 0.3455 0.4997
0.9998 0.3455 0.9997
0.3706 0.2500 0.6415
0.4998 0.6545 0.5003
0.0002 0.8455 0.0003
0.0002 0.6545 0.0003
0.8706 0.7500 0.8585
0.9998 0.1545 0.9997
0.4998 0.8455 0.5003
0.6294 0.7500 0.3585
0.0388 0.7500 0.0498
0.5890 0.8466 0.4060
0.4110 0.1534 0.5940
0.9110 0.6534 0.9060
0.0890 0.1534 0.0940
0.5890 0.6534 0.4060
0.5388 0.2500 0.4502
0.4110 0.3466 0.5940
0.4612 0.7500 0.5498
0.9110 0.8466 0.9060
0.0890 0.3466 0.0940
0.9612 0.2500 0.9502
```

energy relative to the elements, uncorrected = -304.5 meV/atom
final energy = -4.575 eV per atom
V = 133 Å³/f.u.

No. 5
First-principles (PBE-GGA) data for crystalline Mn2CoCl at its relaxed geometry, as listed in Alexandria via LeMat-Bulk.

```
Mn2CoCl
1.0
6.2650 0.0000 0.0000
0.0000 6.2650 0.0000
3.1325 3.1325 3.4080
Cl Mn Co
2 4 2
direct
0.5000 0.5000 0.0000
0.2500 0.7500 0.5000
0.8750 0.8888 0.7500
0.1112 0.6250 0.2500
0.3750 0.3612 0.7500
0.6388 0.1250 0.2500
0.0000 0.0000 0.0000
0.7500 0.2500 0.5000
```

energy relative to the elements, uncorrected = 652.9 meV/atom
final energy = -6.170 eV per atom
V = 67 Å³/f.u.

No. 6
First-principles (PBE-GGA) data for crystalline AlAgC at its relaxed geometry, as listed in Alexandria via LeMat-Bulk.

```
AlAgC
1.0
-1.2468 2.9347 -2.2006
-3.0398 -3.3950 -2.8051
-2.9836 0.7145 2.3685
Al Ag C
2 2 2
direct
0.0903 0.6714 0.6000
0.5903 0.6715 0.1000
0.3406 0.1716 0.8497
0.8406 0.1713 0.3497
0.0904 0.5226 0.1000
0.5904 0.8203 0.6000
```

final energy = -4.911 eV per atom
V = 40 Å³/f.u.
formation energy from the elements = 0.362 eV/atom

No. 7
First-principles (PBE-GGA) data for crystalline Ho3Ge4Pd4 at its relaxed geometry, as listed in Alexandria via LeMat-Bulk.

```
Ho3Ge4Pd4
1.0
8.1082 0.0004 0.0014
3.9267 7.0939 -0.0014
-4.9976 -5.2773 3.5941
Ge Pd Ho
4 4 3
direct
0.6882 0.5000 0.1882
0.2180 0.2180 0.0000
0.3118 0.5000 0.8118
0.7820 0.7820 0.0000
0.9741 0.6751 0.2990
0.6239 0.3249 0.2990
0.0259 0.3249 0.7010
0.3761 0.6751 0.7010
0.3741 0.8741 0.5000
0.0000 0.0000 0.0000
0.6259 0.1259 0.5000
```

final energy = -5.718 eV per atom
V = 207 Å³/f.u.
formation energy from the elements = -0.902 eV/atom

No. 8
First-principles (PBE-GGA) data for crystalline YTm6Sc4 at its relaxed geometry, as listed in Alexandria via LeMat-Bulk.

```
YTm6Sc4
1.0
6.2931 0.0000 0.0000
0.0000 6.2931 0.0000
-3.1465 -3.1465 8.2514
Sc Tm Y
4 6 1
direct
0.3035 0.3035 0.2562
0.0473 0.6965 0.7438
0.9527 0.9527 0.2562
0.6965 0.0473 0.7438
0.5000 0.0000 0.0000
0.4896 0.8655 0.3551
0.5104 0.5104 0.6449
0.8655 0.4896 0.3551
0.0000 0.5000 0.0000
0.1345 0.1345 0.6449
0.5000 0.5000 0.0000
```

final energy = -5.003 eV per atom
V = 327 Å³/f.u.
formation energy from the elements = 0.326 eV/atom

No. 9
First-principles (PBE-GGA) data for crystalline SrHfCu2 at its relaxed geometry, as listed in Alexandria via LeMat-Bulk.

```
SrHfCu2
1.0
4.2442 -2.4017 -0.4396
0.0368 -4.6400 -1.5631
1.7571 -1.0730 -4.4425
Sr Cu Hf
1 2 1
direct
0.0000 0.0000 0.0000
0.2500 0.2500 0.2500
0.7500 0.7500 0.7500
0.5000 0.5000 0.5000
```

final energy = -4.680 eV per atom
V = 83 Å³/f.u.
formation energy from the elements = 0.277 eV/atom

No. 10
First-principles (PBE-GGA) data for crystalline RbLaNi at its relaxed geometry, as listed in Alexandria via LeMat-Bulk.

```
RbLaNi
1.0
3.9638 -0.0002 -0.0012
1.9746 4.9610 0.0021
1.6687 0.1704 12.5591
Rb Ni La
2 2 2
direct
0.7343 0.2467 0.8353
0.2657 0.7533 0.1647
0.3865 0.1643 0.5746
0.6135 0.8357 0.4254
0.0994 0.7245 0.5900
0.9006 0.2755 0.4100
```

final energy = -3.878 eV per atom
V = 123 Å³/f.u.
formation energy from the elements = 0.014 eV/atom

No. 11
First-principles (PBE-GGA) data for crystalline Cs2Cd3Sn5 at its relaxed geometry, as listed in Alexandria via LeMat-Bulk.

```
Cs2Cd3Sn5
1.0
-3.9234 4.5910 -4.0246
3.3861 0.0635 -9.6502
-7.1016 -5.0950 -5.3107
Sn Cd Cs
10 6 4
direct
0.6251 0.7442 0.0041
0.1251 0.0041 0.7442
0.5006 0.2493 0.2506
0.7500 0.4994 0.5006
0.0006 0.2506 0.2493
0.3749 0.2558 0.9959
0.4994 0.7507 0.7494
0.8749 0.9959 0.2558
0.9994 0.7494 0.7507
0.2500 0.5006 0.4994
0.8756 0.7559 0.4927
0.6244 0.5073 0.2441
0.2500 0.9991 0.0009
0.3756 0.4927 0.7559
0.1244 0.2441 0.5073
0.7500 0.0009 0.9991
0.3766 0.8745 0.3733
0.1234 0.6267 0.1255
0.8766 0.3733 0.8745
0.6234 0.1255 0.6267
```

final energy = -2.600 eV per atom
V = 330 Å³/f.u.
formation energy from the elements = -0.154 eV/atom